No. 1
Material: Cs4Hg2I
Method: DFT, GGA-PBE
State: optimized geometry

Results
As for the magnetization: 0.00 μB/f.u. For the formation energy from raw total energies, the calculation gives -368 meV/atom. For the total DFT energy (no corrections), the calculation gives -8.145 eV per formula unit.

Cell: 7.1749 7.1749 23.5111 Å, 90.00 90.00 90.00°
Last column: nearest neighbours and their distance in Å.
Space group I4/mmm (No. 139)
Inequivalent atoms, fractional coordinates:
Cs1 0.0000 0.0000 0.1793 [4 per cell]  1 Hg 3.82
Cs2 0.0000 0.5000 0.0000 [4 per cell]  2 I 3.59
Hg1 0.0000 0.0000 0.3416 [4 per cell]  1 I 3.72, 1 Cs 3.82
I1 0.0000 0.0000 0.5000 [2 per cell]  4 Cs 3.59, 2 Hg 3.72

***

No. 2
Material: Cs5HgI8
Method: DFT, GGA-PBE
State: optimized geometry

Results
As for the magnetization: 1.01 μB/f.u. For the formation energy from raw total energies, the calculation gives -1084 meV/atom. For the total DFT energy (no corrections), the calculation gives -32.143 eV per formula unit.

Cell: 11.1452 11.1452 12.7792 Å, 90.00 90.00 90.00°
Last column: nearest neighbours and their distance in Å.
Space group I-4 (No. 82)
Inequivalent atoms, fractional coordinates:
Cs1 0.0000 0.0000 0.0000 [2 per cell]  4 I 3.83
Cs2 0.1382 0.2662 0.3825 [8 per cell]  7 I 3.81-4.16
Hg1 0.0000 0.5000 0.7500 [2 per cell]  4 I 2.90
I1 0.0604 0.2557 0.6914 [8 per cell]  1 Hg 2.90
I2 0.1025 0.3139 0.0826 [8 per cell]  5 Cs 3.81-3.96, 1 I 4.08

***

No. 3
Material: CsHg2I2
Method: DFT, GGA-PBE
State: optimized geometry

Results
The calculation puts the polymorph energy (0 for the lowest one) at 0.062 eV per atom. As for the magnetization: 0.00 μB/f.u. For the formation energy from raw total energies, the calculation gives -558 meV/atom. For the total DFT energy (no corrections), the calculation gives -7.348 eV per formula unit.

Cell: 9.6689 9.6689 4.4851 Å, 90.00 90.00 90.00°
Last column: nearest neighbours and their distance in Å.
Space group P4/mbm (No. 127)
Inequivalent atoms, fractional coordinates:
Cs1 0.0000 0.0000 0.0000 [2 per cell]  4 Hg 3.96, 8 I 4.11
Hg1 0.1037 0.3963 0.0000 [4 per cell]  1 Hg 2.84
I1 0.2201 0.7201 0.5000 [4 per cell]  2 Hg 3.29